# 1
# K2Hg3S4 (GGA-PBE, optimized geometry)
data_K2Hg3S4
_cell_length_a 9.5814
_cell_length_b 9.5814
_cell_length_c 7.2631
_cell_angle_alpha 91.08
_cell_angle_beta 91.08
_cell_angle_gamma 115.89
_symmetry_space_group_name_H-M 'P 1'
_symmetry_Int_Tables_number 1
_symmetry_space_group_name_Hall 'P 1'
loop_
_atom_site_label
_atom_site_fract_x
_atom_site_fract_y
_atom_site_fract_z
K1 0.0671 0.2708 0.3885
K2 0.2708 0.0671 0.8885
K3 0.7292 0.9329 0.1115
K4 0.9329 0.7292 0.6115
Hg1 0.2024 0.7976 0.2500
Hg2 0.2174 0.5226 0.9339
Hg3 0.4774 0.7826 0.5661
Hg4 0.5226 0.2174 0.4339
Hg5 0.7826 0.4774 0.0661
Hg6 0.7976 0.2024 0.7500
S1 0.0637 0.2513 0.9162
S2 0.2096 0.6208 0.5105
S3 0.2513 0.0637 0.4162
S4 0.3792 0.7904 0.9895
S5 0.6208 0.2096 0.0105
S6 0.7487 0.9363 0.5838
S7 0.7904 0.3792 0.4895
S8 0.9363 0.7487 0.0838
# - theoretical density (Mg/m³) = 4.5
# - uncorrected formation energy (kJ per mole of atoms) = -51
# - energy (eV/atom) = -2.71

=====

# 2
# Ba2Si4Pt5 (GGA-PBE, optimized geometry)
data_Ba2Si4Pt5
_cell_length_a 6.4275
_cell_length_b 6.4275
_cell_length_c 7.5632
_cell_angle_alpha 118.45
_cell_angle_beta 118.45
_cell_angle_gamma 67.57
_symmetry_space_group_name_H-M 'P 1'
_symmetry_Int_Tables_number 1
_symmetry_space_group_name_Hall 'P 1'
loop_
_atom_site_label
_atom_site_fract_x
_atom_site_fract_y
_atom_site_fract_z
Ba1 0.0795 0.0795 0.3477
Ba2 0.9205 0.9205 0.6523
Si1 0.2739 0.2739 0.1336
Si2 0.4496 0.4496 0.7789
Si3 0.5504 0.5504 0.2211
Si4 0.7261 0.7261 0.8664
Pt1 0.1344 0.5321 0.9135
Pt2 0.4679 0.8656 0.0865
Pt3 0.5000 0.5000 0.5000
Pt4 0.5321 0.1344 0.9135
Pt5 0.8656 0.4679 0.0865
# - theoretical density (Mg/m³) = 9.6
# - uncorrected formation energy (kJ per mole of atoms) = -79
# - energy (eV/atom) = -5.89

=====

# 3
# TcTeSe (GGA-PBE, optimized geometry)
data_TcTeSe
_cell_length_a 5.7653
_cell_length_b 5.8187
_cell_length_c 6.1024
_cell_angle_alpha 90.47
_cell_angle_beta 91.11
_cell_angle_gamma 90.75
_symmetry_space_group_name_H-M 'P 1'
_symmetry_Int_Tables_number 1
_symmetry_space_group_name_Hall 'P 1'
loop_
_atom_site_label
_atom_site_fract_x
_atom_site_fract_y
_atom_site_fract_z
Tc1 0.2445 0.0011 0.4988
Tc2 0.7555 0.9989 0.5012
Te1 0.4922 0.8211 0.2001
Te2 0.5078 0.1789 0.7999
Se1 0.0018 0.7173 0.6519
Se2 0.9982 0.2827 0.3481
# - theoretical density (Mg/m³) = 4.9
# - uncorrected formation energy (kJ per mole of atoms) = -9
# - energy (eV/atom) = -5.75

=====

# 4
# RbV (GGA-PBE, optimized geometry)
data_RbV
_cell_length_a 9.7681
_cell_length_b 4.7339
_cell_length_c 14.9931
_cell_angle_alpha 90.00
_cell_angle_beta 90.00
_cell_angle_gamma 90.00
_symmetry_space_group_name_H-M 'P 1'
_symmetry_Int_Tables_number 1
_symmetry_space_group_name_Hall 'P 1'
loop_
_atom_site_label
_atom_site_fract_x
_atom_site_fract_y
_atom_site_fract_z
Rb1 0.1524 0.2500 0.2238
Rb2 0.1805 0.2500 0.9384
Rb3 0.3195 0.7500 0.4384
Rb4 0.3476 0.7500 0.7238
Rb5 0.6524 0.2500 0.2762
Rb6 0.6805 0.2500 0.5616
Rb7 0.8195 0.7500 0.0616
Rb8 0.8476 0.7500 0.7762
V1 0.0198 0.2500 0.4674
V2 0.0800 0.2500 0.5866
V3 0.4200 0.7500 0.0866
V4 0.4802 0.7500 0.9674
V5 0.5198 0.2500 0.0326
V6 0.5800 0.2500 0.9134
V7 0.9200 0.7500 0.4134
V8 0.9802 0.7500 0.5326
# - theoretical density (Mg/m³) = 2.6
# - energy (eV/atom) = -4.19

=====

# 5
# Pm2ThGa2 (GGA-PBE, optimized geometry)
data_Pm2ThGa2
_cell_length_a 6.0303
_cell_length_b 3.9265
_cell_length_c 12.3901
_cell_angle_alpha 90.00
_cell_angle_beta 98.44
_cell_angle_gamma 90.00
_symmetry_space_group_name_H-M 'P 1'
_symmetry_Int_Tables_number 1
_symmetry_space_group_name_Hall 'P 1'
loop_
_atom_site_label
_atom_site_fract_x
_atom_site_fract_y
_atom_site_fract_z
Pm1 0.0774 0.2500 0.3663
Pm2 0.2219 0.7500 0.9274
Pm3 0.7781 0.2500 0.0726
Pm4 0.9226 0.7500 0.6337
Th1 0.4668 0.2500 0.7127
Th2 0.5332 0.7500 0.2873
Ga1 0.2910 0.2500 0.1214
Ga2 0.3599 0.7500 0.5193
Ga3 0.6401 0.2500 0.4807
Ga4 0.7090 0.7500 0.8786
# - theoretical density (Mg/m³) = 7.6
# - energy (eV/atom) = -4.89

=====

# 6
# ReTc2Hg (GGA-PBE, optimized geometry)
data_ReTc2Hg
_cell_length_a 9.4171
_cell_length_b 2.8618
_cell_length_c 4.8715
_cell_angle_alpha 90.00
_cell_angle_beta 101.33
_cell_angle_gamma 90.00
_symmetry_space_group_name_H-M 'P 1'
_symmetry_Int_Tables_number 1
_symmetry_space_group_name_Hall 'P 1'
loop_
_atom_site_label
_atom_site_fract_x
_atom_site_fract_y
_atom_site_fract_z
Re1 0.0000 0.0000 0.0000
Re2 0.5000 0.5000 0.0000
Tc1 0.2384 0.5000 0.2116
Tc2 0.4767 0.0000 0.4325
Tc3 0.7384 0.0000 0.2116
Tc4 0.9767 0.5000 0.4325
Hg1 0.2382 0.0000 0.7111
Hg2 0.7382 0.5000 0.7111
# - theoretical density (Mg/m³) = 15.0
# - energy (eV/atom) = -7.90

=====

# 7
# BaNa3Ga (GGA-PBE, optimized geometry)
data_BaNa3Ga
_cell_length_a 5.8008
_cell_length_b 5.8008
_cell_length_c 5.8008
_cell_angle_alpha 90.00
_cell_angle_beta 90.00
_cell_angle_gamma 90.00
_symmetry_space_group_name_H-M 'P 1'
_symmetry_Int_Tables_number 1
_symmetry_space_group_name_Hall 'P 1'
loop_
_atom_site_label
_atom_site_fract_x
_atom_site_fract_y
_atom_site_fract_z
Ba1 0.0000 0.0000 0.0000
Na1 0.0000 0.5000 0.5000
Na2 0.5000 0.0000 0.5000
Na3 0.5000 0.5000 0.0000
Ga1 0.5000 0.5000 0.5000
# - theoretical density (Mg/m³) = 2.3
# - energy (eV/atom) = -1.70

=====

# 8
# AsPbAu (GGA-PBE, optimized geometry)
data_AsPbAu
_cell_length_a 4.4117
_cell_length_b 4.4117
_cell_length_c 4.4281
_cell_angle_alpha 90.00
_cell_angle_beta 90.00
_cell_angle_gamma 120.00
_symmetry_space_group_name_H-M 'P 1'
_symmetry_Int_Tables_number 1
_symmetry_space_group_name_Hall 'P 1'
loop_
_atom_site_label
_atom_site_fract_x
_atom_site_fract_y
_atom_site_fract_z
As1 0.0000 0.0000 0.0000
Pb1 0.3333 0.6667 0.5038
Au1 0.6667 0.3333 0.0854
# - theoretical density (Mg/m³) = 10.7
# - energy (eV/atom) = -3.94

=====

# 9
# Dy3YBi4 (GGA-PBE, optimized geometry)
data_Dy3YBi4
_cell_length_a 6.3294
_cell_length_b 6.3294
_cell_length_c 6.3294
_cell_angle_alpha 90.00
_cell_angle_beta 90.00
_cell_angle_gamma 90.00
_symmetry_space_group_name_H-M 'P 1'
_symmetry_Int_Tables_number 1
_symmetry_space_group_name_Hall 'P 1'
loop_
_atom_site_label
_atom_site_fract_x
_atom_site_fract_y
_atom_site_fract_z
Dy1 0.0000 0.0000 0.5000
Dy2 0.0000 0.5000 0.0000
Dy3 0.5000 0.0000 0.0000
Y1 0.5000 0.5000 0.5000
Bi1 0.0000 0.0000 0.0000
Bi2 0.0000 0.5000 0.5000
Bi3 0.5000 0.0000 0.5000
Bi4 0.5000 0.5000 0.0000
# - theoretical density (Mg/m³) = 9.2
# - energy (eV/atom) = -5.35

=====

# 10
# Ba2MgTl10 (GGA-PBE, optimized geometry)
data_Ba2MgTl10
_cell_length_a 11.4421
_cell_length_b 13.1503
_cell_length_c 6.6624
_cell_angle_alpha 90.00
_cell_angle_beta 90.00
_cell_angle_gamma 90.00
_symmetry_space_group_name_H-M 'P 1'
_symmetry_Int_Tables_number 1
_symmetry_space_group_name_Hall 'P 1'
loop_
_atom_site_label
_atom_site_fract_x
_atom_site_fract_y
_atom_site_fract_z
Ba1 0.1441 0.1255 0.0000
Ba2 0.3559 0.6255 0.0000
Ba3 0.6441 0.3745 0.0000
Ba4 0.8559 0.8745 0.0000
Mg1 0.0000 0.5000 0.5000
Mg2 0.5000 0.0000 0.5000
Tl1 0.0441 0.8888 0.5000
Tl2 0.0629 0.6882 0.2321
Tl3 0.0629 0.6882 0.7679
Tl4 0.1856 0.3061 0.5000
Tl5 0.2493 0.5621 0.5000
Tl6 0.2507 0.0621 0.5000
Tl7 0.3144 0.8061 0.5000
Tl8 0.4371 0.1882 0.2321
Tl9 0.4371 0.1882 0.7679
Tl10 0.4559 0.3888 0.5000
Tl11 0.5441 0.6112 0.5000
Tl12 0.5629 0.8118 0.2321
Tl13 0.5629 0.8118 0.7679
Tl14 0.6856 0.1939 0.5000
Tl15 0.7493 0.9379 0.5000
Tl16 0.7507 0.4379 0.5000
Tl17 0.8144 0.6939 0.5000
Tl18 0.9371 0.3118 0.2321
Tl19 0.9371 0.3118 0.7679
Tl20 0.9559 0.1112 0.5000
# - theoretical density (Mg/m³) = 7.8
# - energy (eV/atom) = -2.27

=====

# 11
# CaCePb (GGA-PBE, optimized geometry)
data_CaCePb
_cell_length_a 10.6550
_cell_length_b 4.5452
_cell_length_c 8.1506
_cell_angle_alpha 90.00
_cell_angle_beta 110.48
_cell_angle_gamma 90.00
_symmetry_space_group_name_H-M 'P 1'
_symmetry_Int_Tables_number 1
_symmetry_space_group_name_Hall 'P 1'
loop_
_atom_site_label
_atom_site_fract_x
_atom_site_fract_y
_atom_site_fract_z
Ca1 0.1644 0.0000 0.0956
Ca2 0.3356 0.5000 0.9044
Ca3 0.6644 0.5000 0.0956
Ca4 0.8356 0.0000 0.9044
Ce1 0.1324 0.0000 0.5599
Ce2 0.3676 0.5000 0.4401
Ce3 0.6324 0.5000 0.5599
Ce4 0.8676 0.0000 0.4401
Pb1 0.0029 0.5000 0.2481
Pb2 0.4971 0.0000 0.7519
Pb3 0.5029 0.0000 0.2481
Pb4 0.9971 0.5000 0.7519
# - theoretical density (Mg/m³) = 7.0
# - energy (eV/atom) = -4.20

=====

# 12
# TlHgRh4 (GGA-PBE, optimized geometry)
data_TlHgRh4
_cell_length_a 5.2729
_cell_length_b 5.2729
_cell_length_c 5.2729
_cell_angle_alpha 60.00
_cell_angle_beta 60.00
_cell_angle_gamma 60.00
_symmetry_space_group_name_H-M 'P 1'
_symmetry_Int_Tables_number 1
_symmetry_space_group_name_Hall 'P 1'
loop_
_atom_site_label
_atom_site_fract_x
_atom_site_fract_y
_atom_site_fract_z
Tl1 0.0000 0.0000 0.0000
Hg1 0.7500 0.7500 0.7500
Rh1 0.3751 0.3751 0.3751
Rh2 0.3751 0.3751 0.8748
Rh3 0.3751 0.8748 0.3751
Rh4 0.8748 0.3751 0.3751
# - theoretical density (Mg/m³) = 13.1
# - energy (eV/atom) = -5.03

=====

# 13
# Ce6CoGe2 (GGA-PBE, optimized geometry)
data_Ce6CoGe2
_cell_length_a 8.0699
_cell_length_b 8.0699
_cell_length_c 3.7913
_cell_angle_alpha 90.00
_cell_angle_beta 90.00
_cell_angle_gamma 120.00
_symmetry_space_group_name_H-M 'P 1'
_symmetry_Int_Tables_number 1
_symmetry_space_group_name_Hall 'P 1'
loop_
_atom_site_label
_atom_site_fract_x
_atom_site_fract_y
_atom_site_fract_z
Ce1 0.0000 0.4186 0.0000
Ce2 0.0000 0.7525 0.5000
Ce3 0.2475 0.2475 0.5000
Ce4 0.4186 0.0000 0.0000
Ce5 0.5814 0.5814 0.0000
Ce6 0.7525 0.0000 0.5000
Co1 0.0000 0.0000 0.0000
Ge1 0.3333 0.6667 0.5000
Ge2 0.6667 0.3333 0.5000
# - theoretical density (Mg/m³) = 8.1
# - energy (eV/atom) = -6.20

=====

# 14
# Tm6Tl2Ni (GGA-PBE, optimized geometry)
data_Tm6Tl2Ni
_cell_length_a 8.5331
_cell_length_b 8.5331
_cell_length_c 8.5331
_cell_angle_alpha 145.89
_cell_angle_beta 130.69
_cell_angle_gamma 61.32
_symmetry_space_group_name_H-M 'P 1'
_symmetry_Int_Tables_number 1
_symmetry_space_group_name_Hall 'P 1'
loop_
_atom_site_label
_atom_site_fract_x
_atom_site_fract_y
_atom_site_fract_z
Tm1 0.0840 0.3467 0.7373
Tm2 0.2241 0.0000 0.2241
Tm3 0.3906 0.6533 0.7373
Tm4 0.6094 0.3467 0.2627
Tm5 0.7759 0.0000 0.7759
Tm6 0.9160 0.6533 0.2627
Tl1 0.3322 0.8322 0.5000
Tl2 0.6678 0.1678 0.5000
Ni1 0.0000 0.5000 0.5000
# - theoretical density (Mg/m³) = 9.4
# - energy (eV/atom) = -4.23

=====

# 15
# ZnCuHIr2 (GGA-PBE, optimized geometry)
data_ZnCuHIr2
_cell_length_a 3.9371
_cell_length_b 3.9371
_cell_length_c 3.7591
_cell_angle_alpha 90.00
_cell_angle_beta 90.00
_cell_angle_gamma 90.00
_symmetry_space_group_name_H-M 'P 1'
_symmetry_Int_Tables_number 1
_symmetry_space_group_name_Hall 'P 1'
loop_
_atom_site_label
_atom_site_fract_x
_atom_site_fract_y
_atom_site_fract_z
Zn1 0.0000 0.0000 0.0000
Cu1 0.5000 0.5000 0.0000
H1 0.5000 0.5000 0.5000
Ir1 0.0000 0.5000 0.5000
Ir2 0.5000 0.0000 0.5000
# - theoretical density (Mg/m³) = 14.7
# - energy (eV/atom) = -5.19

=====

# 16
# CoReAs2 (GGA-PBE, optimized geometry)
data_CoReAs2
_cell_length_a 6.1910
_cell_length_b 6.1910
_cell_length_c 6.1910
_cell_angle_alpha 90.00
_cell_angle_beta 90.00
_cell_angle_gamma 90.00
_symmetry_space_group_name_H-M 'P 1'
_symmetry_Int_Tables_number 1
_symmetry_space_group_name_Hall 'P 1'
loop_
_atom_site_label
_atom_site_fract_x
_atom_site_fract_y
_atom_site_fract_z
Co1 0.0000 0.0000 0.0000
Co2 0.0000 0.5000 0.5000
Co3 0.5000 0.0000 0.5000
Co4 0.5000 0.5000 0.0000
Re1 0.2500 0.2500 0.2500
Re2 0.2500 0.7500 0.7500
Re3 0.7500 0.2500 0.7500
Re4 0.7500 0.7500 0.2500
As1 0.0000 0.0000 0.5000
As2 0.0000 0.5000 0.0000
As3 0.2500 0.2500 0.7500
As4 0.2500 0.7500 0.2500
As5 0.5000 0.0000 0.0000
As6 0.5000 0.5000 0.5000
As7 0.7500 0.2500 0.2500
As8 0.7500 0.7500 0.7500
# - theoretical density (Mg/m³) = 11.1
# - energy (eV/atom) = -6.54